Record 1
The following is a DFT calculation (PBE) of a relaxed structure of Dy3Tl3TcO8.

```
Dy3Tl3TcO8
1.0
3.405 1.966 6.551
-3.405 1.966 6.551
0.000 -3.932 6.551
Dy Tl Tc O
3 3 1 8
Direct
0.000 0.500 0.500
0.500 0.000 0.500
0.500 0.500 0.000
0.000 0.000 0.500
0.000 0.500 0.000
0.500 0.000 0.000
0.000 0.000 0.000
0.208 0.208 0.748
0.208 0.748 0.208
0.252 0.792 0.792
0.277 0.277 0.277
0.723 0.723 0.723
0.748 0.208 0.208
0.792 0.252 0.792
0.792 0.792 0.252
```

space-group type	R-3m (166)
V	17.537	A^3/atom
calculated total energy	-6.871	eV per atom

---

Record 2
The following is a DFT calculation (PBE) of a relaxed structure of DyThPt2.

```
DyThPt2
1.0
2.041 1.178 6.988
-2.041 1.178 6.988
0.000 -2.357 6.988
Dy Th Pt
1 1 2
Direct
0.000 0.000 0.000
0.828 0.828 0.828
0.248 0.248 0.248
0.412 0.412 0.412
```

polymorph energy (0 for the lowest one)	111	meV per atom
space-group type	R3m (160)
energy relative to the elements	-113.24	kJ per mole of atoms
V	25.210	A^3/atom
calculated total energy	-7.199	eV per atom

---

Record 3
The following is a DFT calculation (PBE) of a relaxed structure of SrCd11Sn.

```
SrCd11Sn
1.0
3.089 -7.224 0.000
3.089 7.224 0.000
-3.009 0.000 7.163
Sr Cd Sn
1 11 1
Direct
0.000 0.000 0.000
0.000 0.500 0.000
0.003 0.363 0.352
0.299 0.515 0.790
0.363 0.003 0.352
0.485 0.701 0.210
0.500 0.000 0.000
0.500 0.500 0.500
0.515 0.299 0.790
0.637 0.997 0.648
0.701 0.485 0.210
0.997 0.637 0.648
0.000 0.000 0.500
```

space-group type	C2/m (12)
energy relative to the elements	-9.08	kJ per mole of atoms
V	24.593	A^3/atom
calculated total energy	-1.306	eV per atom